one | Compound: NdAl3Rh
Source: the Alexandria database
Functional: PBE
Structure: relaxed

Properties
DOS at the Fermi energy in states/eV/cell: 11.506
Volume in Å³/f.u.: 100.52
Magnetic moment in μB per formula unit: 0.000
Space group: No. 194

```
data_NdAl3Rh
_space_group_name_H-M_alt 'P 1'
_space_group_IT_number 1
_cell_length_a 6.419
_cell_length_b 6.419
_cell_length_c 11.267
_cell_angle_alpha 90.00
_cell_angle_beta 90.00
_cell_angle_gamma 120.00
loop_
_space_group_symop_operation_xyz
'x,y,z'
loop_
_atom_site_label
_atom_site_type_symbol
_atom_site_fract_x
_atom_site_fract_y
_atom_site_fract_z
Rh1 Rh 0.333 0.667 0.626
Al1 Al 0.500 0.500 0.000
Rh2 Rh 0.333 0.667 0.874
Al2 Al 0.141 0.859 0.750
Rh3 Rh 0.667 0.333 0.374
Al3 Al 0.141 0.282 0.750
Rh4 Rh 0.667 0.333 0.126
Al4 Al 0.000 0.500 0.500
Al5 Al 0.718 0.859 0.750
Al6 Al 0.859 0.141 0.250
Al7 Al 0.859 0.718 0.250
Nd1 Nd 0.000 0.000 0.500
Al8 Al 0.500 0.500 0.500
Al9 Al 0.500 0.000 0.500
Al10 Al 0.000 0.500 0.000
Nd2 Nd 0.333 0.667 0.250
Nd3 Nd 0.667 0.333 0.750
Nd4 Nd 0.000 0.000 0.000
Al11 Al 0.500 0.000 0.000
Al12 Al 0.282 0.141 0.250
```

---

two | Compound: NdAl3Rh
Source: the Alexandria database
Functional: PBE
Structure: relaxed

Properties
DOS at the Fermi energy in states/eV/cell: 10.348
Volume in Å³/f.u.: 95.63
Magnetic moment in μB per formula unit: 0.000
Space group: No. 14

```
data_NdAl3Rh
_space_group_name_H-M_alt 'P 1'
_space_group_IT_number 1
_cell_length_a 5.466
_cell_length_b 8.423
_cell_length_c 8.441
_cell_angle_alpha 100.12
_cell_angle_beta 90.00
_cell_angle_gamma 90.00
loop_
_space_group_symop_operation_xyz
'x,y,z'
loop_
_atom_site_label
_atom_site_type_symbol
_atom_site_fract_x
_atom_site_fract_y
_atom_site_fract_z
Al1 Al 0.160 0.441 0.098
Al2 Al 0.376 0.052 0.646
Nd1 Nd 0.380 0.286 0.372
Rh1 Rh 0.151 0.151 0.956
Al3 Al 0.876 0.448 0.354
Rh2 Rh 0.651 0.349 0.044
Al4 Al 0.660 0.059 0.902
Al5 Al 0.888 0.143 0.201
Al6 Al 0.112 0.857 0.799
Rh3 Rh 0.849 0.849 0.044
Nd2 Nd 0.880 0.214 0.628
Nd3 Nd 0.120 0.786 0.372
Al7 Al 0.612 0.643 0.201
Al8 Al 0.624 0.948 0.354
Al9 Al 0.124 0.552 0.646
Rh4 Rh 0.349 0.651 0.956
Al10 Al 0.340 0.941 0.098
Nd4 Nd 0.620 0.714 0.628
Al11 Al 0.840 0.559 0.902
Al12 Al 0.388 0.357 0.799
```

---

Looking at the structures above, one is most stable, and the difference to the next one is 1.8 kJ/mol of atoms.